Ce2Nd8Er: relaxed, PBE.

POSCAR file:
```
Ce2Nd8Er
1.0
-0.580 -1.114 5.499
6.985 -4.588 -0.192
1.135 9.379 -0.874
Ce Nd Er
2 8 1
Direct
0.201 0.701 0.402
0.799 0.299 0.598
0.639 0.845 0.278
0.361 0.567 0.722
0.157 0.157 0.314
0.000 0.296 0.000
0.843 0.843 0.686
0.639 0.433 0.278
0.361 0.155 0.722
0.000 0.704 0.000
0.500 0.000 0.000
```

Summary:
space-group type = Immm, No. 71
VASP energy = -52.86 eV/cell
density of states at the Fermi level = 22.9 states/eV/cell
calculated density = 7.0 g/cm³

=====

CeNd4Er: relaxed, PBE.

POSCAR file:
```
CeNd4Er
1.0
10.897 0.000 0.000
0.000 6.194 0.972
0.000 1.132 6.174
Ce Nd Er
2 8 2
Direct
0.000 0.500 0.500
0.500 0.500 0.000
0.663 0.000 0.999
0.837 0.000 0.499
0.335 0.500 0.500
0.835 0.500 0.000
0.165 0.500 0.000
0.665 0.500 0.500
0.163 0.000 0.501
0.337 0.000 0.001
0.500 0.000 0.500
0.000 0.000 0.000
```

Summary:
space-group type = C2/m, No. 12
VASP energy = -58.39 eV/cell
density of states at the Fermi level = 25.3 states/eV/cell
calculated density = 7.3 g/cm³

=====

Ce2NdEr: relaxed, PBE.

POSCAR file:
```
Ce2NdEr
1.0
3.375 0.000 0.000
1.688 2.923 0.000
1.688 0.974 12.392
Nd Ce Er
1 2 1
Direct
0.500 0.500 0.500
0.084 0.084 0.747
0.916 0.916 0.253
0.000 0.000 0.000
```

Summary:
space-group type = R-3m, No. 166
VASP energy = -20.21 eV/cell
density of states at the Fermi level = 10.5 states/eV/cell
calculated density = 8.0 g/cm³

=====

CeNd2Er8: relaxed, PBE.

POSCAR file:
```
CeNd2Er8
1.0
4.846 0.000 -1.291
-0.519 7.653 -1.950
-0.100 -0.071 9.369
Ce Nd Er
1 2 8
Direct
0.500 0.000 0.000
0.228 0.637 0.457
0.772 0.363 0.543
0.589 0.453 0.178
0.320 0.094 0.641
0.135 0.177 0.269
0.044 0.730 0.088
0.865 0.823 0.731
0.680 0.906 0.359
0.411 0.547 0.822
0.956 0.270 0.912
```

Summary:
space-group type = C2/m, No. 12
VASP energy = -51.50 eV/cell
density of states at the Fermi level = 18.2 states/eV/cell
calculated density = 8.5 g/cm³

=====

CeNdEr6: relaxed, PBE.

POSCAR file:
```
CeNdEr6
1.0
-3.753 -5.050 1.839
5.282 -3.452 1.346
0.610 -2.298 7.179
Ce Nd Er
1 1 6
Direct
0.000 0.500 0.000
0.000 0.000 0.000
0.081 0.760 0.479
0.550 0.731 0.538
0.450 0.269 0.462
0.919 0.240 0.521
0.501 0.748 0.999
0.499 0.252 0.001
```

Summary:
space-group type = P-1, No. 2
VASP energy = -36.34 eV/cell
density of states at the Fermi level = 15.7 states/eV/cell
calculated density = 8.5 g/cm³

=====

CeNd14Er: relaxed, PBE.

POSCAR file:
```
CeNd14Er
1.0
-0.855 -2.985 -6.631
-5.662 -3.916 2.493
-6.462 7.675 -2.621
Ce Nd Er
1 14 1
Direct
0.875 0.125 0.000
0.375 0.625 0.500
0.875 0.125 0.500
0.875 0.624 0.000
0.875 0.626 0.500
0.376 0.125 0.000
0.374 0.125 0.500
0.626 0.876 0.753
0.626 0.876 0.247
0.124 0.374 0.753
0.124 0.374 0.247
0.124 0.876 0.754
0.124 0.876 0.246
0.626 0.374 0.753
0.626 0.374 0.247
0.375 0.625 0.000
```

Summary:
space-group type = Amm2, No. 38
VASP energy = -76.76 eV/cell
density of states at the Fermi level = 29.5 states/eV/cell
calculated density = 7.0 g/cm³

=====

CeNd10Er4: relaxed, PBE.

POSCAR file:
```
CeNd10Er4
1.0
-5.622 3.799 -8.301
-0.503 -3.337 -8.110
-8.268 -1.964 -2.223
Ce Nd Er
1 10 4
Direct
0.000 0.000 0.000
0.250 0.500 0.500
0.540 0.330 0.902
0.130 0.098 0.330
0.558 0.902 0.670
0.772 0.670 0.098
0.460 0.670 0.098
0.750 0.500 0.500
0.228 0.330 0.902
0.442 0.098 0.330
0.870 0.902 0.670
0.333 0.728 0.605
0.939 0.395 0.728
0.061 0.605 0.272
0.667 0.272 0.395
```

Summary:
space-group type = I4/m, No. 87
VASP energy = -67.02 eV/cell
density of states at the Fermi level = 25.0 states/eV/cell
calculated density = 7.2 g/cm³

=====

CeNd5Er4: relaxed, PBE.

POSCAR file:
```
CeNd5Er4
1.0
-2.115 -2.692 0.770
5.780 -6.473 -6.754
7.564 -2.351 4.558
Ce Nd Er
1 5 4
Direct
0.500 0.000 0.000
0.795 0.602 0.590
0.896 0.282 0.792
0.104 0.718 0.208
0.500 0.500 0.000
0.205 0.398 0.410
0.305 0.079 0.609
0.906 0.814 0.812
0.695 0.921 0.391
0.094 0.186 0.188
```

Summary:
space-group type = C2/m, No. 12
VASP energy = -46.97 eV/cell
density of states at the Fermi level = 17.8 states/eV/cell
calculated density = 7.7 g/cm³

=====

CeNd3Er6: relaxed, PBE.

POSCAR file:
```
CeNd3Er6
1.0
-2.109 6.248 -5.566
-8.644 -1.708 1.358
1.801 -0.023 5.980
Ce Nd Er
1 3 6
Direct
0.500 0.500 0.000
0.781 0.269 0.562
0.219 0.731 0.438
0.000 0.000 0.000
0.302 0.356 0.241
0.061 0.644 0.759
0.698 0.644 0.759
0.939 0.356 0.241
0.383 0.133 0.766
0.617 0.867 0.234
```

Summary:
space-group type = C2/m, No. 12
VASP energy = -44.49 eV/cell
density of states at the Fermi level = 18.1 states/eV/cell
calculated density = 7.7 g/cm³

=====

CeNd4Er4: relaxed, PBE.

POSCAR file:
```
CeNd4Er4
1.0
4.803 0.000 1.626
2.401 7.615 0.813
-0.041 0.000 8.026
Ce Nd Er
1 4 4
Direct
0.000 0.000 0.000
0.335 0.330 0.000
0.665 0.670 0.000
0.665 0.000 0.670
0.335 0.000 0.330
0.000 0.665 0.335
0.000 0.335 0.665
0.665 0.335 0.335
0.335 0.665 0.665
```

Summary:
space-group type = I4/mmm, No. 139
VASP energy = -42.84 eV/cell
density of states at the Fermi level = 15.0 states/eV/cell
calculated density = 7.8 g/cm³

=====

Ce2NdEr: relaxed, PBE.

POSCAR file:
```
Ce2NdEr
1.0
-3.749 -3.382 0.783
3.316 -3.345 1.426
-0.431 1.554 4.649
Nd Ce Er
1 2 1
Direct
0.500 0.000 0.000
0.000 0.000 0.500
0.000 0.500 0.000
0.500 0.500 0.500
```

Summary:
space-group type = P4/mmm, No. 123
VASP energy = -20.76 eV/cell
density of states at the Fermi level = 10.2 states/eV/cell
calculated density = 7.9 g/cm³

=====

CeNd2Er6: relaxed, PBE.

POSCAR file:
```
CeNd2Er6
1.0
-2.290 2.630 -0.410
4.052 2.196 -8.545
-7.347 -6.334 0.404
Ce Nd Er
1 2 6
Direct
0.500 0.000 0.000
0.264 0.667 0.333
0.736 0.333 0.667
0.231 0.651 0.673
0.231 0.022 0.349
0.231 0.327 0.978
0.769 0.349 0.327
0.769 0.978 0.651
0.769 0.673 0.022
```

Summary:
space-group type = P-3, No. 147
VASP energy = -41.95 eV/cell
density of states at the Fermi level = 19.1 states/eV/cell
calculated density = 8.3 g/cm³

=====

CeNd8Er3: relaxed, PBE.

POSCAR file:
```
CeNd8Er3
1.0
7.611 -0.518 -3.635
-4.457 7.085 -1.158
-0.326 0.518 8.428
Ce Nd Er
1 8 3
Direct
0.000 0.000 0.000
0.475 0.218 0.218
0.525 0.743 0.743
0.000 0.782 0.257
0.000 0.257 0.782
0.244 0.363 0.363
0.756 0.119 0.119
0.000 0.637 0.881
0.000 0.881 0.637
0.500 0.750 0.250
0.500 0.250 0.750
0.000 0.500 0.500
```

Summary:
space-group type = I-42m, No. 121
VASP energy = -51.16 eV/cell
density of states at the Fermi level = 19.5 states/eV/cell
calculated density = 6.8 g/cm³

=====

CeNd6Er4: relaxed, PBE.

POSCAR file:
```
CeNd6Er4
1.0
5.854 0.000 0.000
-2.927 4.836 0.000
0.000 0.000 26.005
Ce Nd Er
2 12 8
Direct
0.791 0.582 0.250
0.209 0.418 0.750
0.500 0.000 0.000
0.500 0.000 0.500
0.123 0.246 0.320
0.877 0.754 0.680
0.877 0.754 0.820
0.123 0.246 0.180
0.801 0.602 0.401
0.199 0.398 0.599
0.199 0.398 0.901
0.801 0.602 0.099
0.453 0.905 0.250
0.547 0.095 0.750
0.848 0.696 0.543
0.458 0.915 0.124
0.152 0.304 0.457
0.542 0.085 0.876
0.848 0.696 0.957
0.152 0.304 0.043
0.542 0.085 0.624
0.458 0.915 0.376
```

Summary:
space-group type = Cmcm, No. 63
VASP energy = -102.57 eV/cell
density of states at the Fermi level = 45.2 states/eV/cell
calculated density = 7.6 g/cm³

=====

CeNd6Er2: relaxed, PBE.

POSCAR file:
```
CeNd6Er2
1.0
2.517 1.539 -2.096
-3.325 -0.592 -1.302
-7.741 24.443 8.656
Ce Nd Er
1 6 2
Direct
0.000 0.000 0.000
0.333 0.667 0.892
0.000 0.000 0.433
0.000 0.000 0.778
0.000 0.000 0.222
0.000 0.000 0.567
0.333 0.667 0.108
0.333 0.667 0.329
0.333 0.667 0.671
```

Summary:
space-group type = P-6m2, No. 187
VASP energy = -43.01 eV/cell
density of states at the Fermi level = 16.5 states/eV/cell
calculated density = 7.2 g/cm³

=====

CeNd10Er6: relaxed, PBE.

POSCAR file:
```
CeNd10Er6
1.0
-1.623 6.537 1.569
2.635 2.822 -9.033
-9.266 -2.729 1.786
Ce Nd Er
1 10 6
Direct
0.500 0.000 0.000
0.818 0.725 0.725
0.818 0.000 0.275
0.818 0.275 0.000
0.182 0.275 0.275
0.182 0.000 0.725
0.182 0.725 0.000
0.500 0.333 0.667
0.500 0.667 0.333
0.000 0.667 0.333
0.000 0.333 0.667
0.687 0.369 0.369
0.687 0.000 0.631
0.687 0.631 0.000
0.313 0.631 0.631
0.313 0.000 0.369
0.313 0.369 0.000
```

Summary:
space-group type = P-31m, No. 162
VASP energy = -78.42 eV/cell
density of states at the Fermi level = 28.6 states/eV/cell
calculated density = 7.4 g/cm³

=====

CeNd12Er7: relaxed, PBE.

POSCAR file:
```
CeNd12Er7
1.0
-2.848 3.066 4.566
-9.098 -3.861 -5.884
5.916 -7.755 6.097
Ce Nd Er
1 12 7
Direct
0.000 0.000 0.000
0.088 0.587 0.175
0.087 0.175 0.588
0.574 0.646 0.001
0.427 0.001 0.354
0.499 0.412 0.587
0.072 0.646 0.646
0.928 0.354 0.354
0.501 0.588 0.413
0.573 0.999 0.646
0.426 0.354 0.999
0.913 0.825 0.412
0.912 0.413 0.825
0.119 0.759 0.001
0.882 0.001 0.242
0.640 0.758 0.759
0.500 0.000 0.000
0.360 0.242 0.241
0.118 0.999 0.758
0.881 0.241 0.999
```

Summary:
space-group type = R-3, No. 148
VASP energy = -90.17 eV/cell
density of states at the Fermi level = 32.6 states/eV/cell
calculated density = 7.4 g/cm³

=====

CeNd6Er8: relaxed, PBE.

POSCAR file:
```
CeNd6Er8
1.0
7.812 0.140 3.804
2.437 7.423 3.804
0.190 0.140 8.687
Ce Nd Er
1 6 8
Direct
0.000 0.000 0.000
0.899 0.460 0.773
0.227 0.101 0.540
0.540 0.227 0.101
0.460 0.773 0.899
0.773 0.899 0.460
0.101 0.540 0.227
0.113 0.713 0.756
0.244 0.887 0.287
0.287 0.244 0.887
0.577 0.577 0.577
0.423 0.423 0.423
0.713 0.756 0.113
0.756 0.113 0.713
0.887 0.287 0.244
```

Summary:
space-group type = R-3, No. 148
VASP energy = -69.15 eV/cell
density of states at the Fermi level = 25.3 states/eV/cell
calculated density = 7.9 g/cm³

=====

CeNd2Er4: relaxed, PBE.

POSCAR file:
```
CeNd2Er4
1.0
3.583 0.000 0.000
-1.791 3.080 -0.374
0.000 -1.684 20.472
Nd Ce Er
2 1 4
Direct
0.860 0.719 0.097
0.665 0.331 0.808
0.475 0.949 0.522
0.235 0.470 0.663
0.430 0.860 0.954
0.048 0.096 0.381
0.289 0.579 0.242
```

Summary:
space-group type = Cm, No. 8
VASP energy = -33.43 eV/cell
density of states at the Fermi level = 12.7 states/eV/cell
calculated density = 8.1 g/cm³

=====

CeNd3Er8: relaxed, PBE.

POSCAR file:
```
CeNd3Er8
1.0
-7.197 -2.277 -3.528
2.606 -4.449 6.546
0.134 7.310 3.997
Ce Nd Er
1 3 8
Direct
0.000 0.000 0.000
0.500 0.750 0.250
0.500 0.250 0.750
0.000 0.500 0.500
0.464 0.201 0.201
0.536 0.737 0.737
0.000 0.799 0.263
0.000 0.263 0.799
0.249 0.360 0.360
0.751 0.111 0.111
0.000 0.640 0.889
0.000 0.889 0.640
```

Summary:
space-group type = I-42m, No. 121
VASP energy = -49.44 eV/cell
density of states at the Fermi level = 18.6 states/eV/cell
calculated density = 7.5 g/cm³